1.
Compound: Na3Mg2In2
Source: the Alexandria database
Functional: PBE
Structure: relaxed

POSCAR file:
```
Na3Mg2In2
1.0
4.503 -2.604 0.000
4.503 2.604 0.000
-3.013 0.000 7.578
Na Mg In
3 2 2
Cartesian
0.000 0.000 0.000
-0.002 0.000 3.255
5.995 0.000 4.323
-0.010 0.000 6.493
6.003 0.000 1.085
3.004 0.000 2.033
2.989 0.000 5.545
```

Calculated values
N(E_F) in states/eV/f.u.: 2.6
Mass density in g/cm3: 3.2
ΔH_f (0 K) in eV per formula unit: -0.47
Calculated total energy in Ry/atom: -0.137



2.
Compound: La2Se2F
Source: the Alexandria database
Functional: PBE
Structure: relaxed

POSCAR file:
```
La2Se2F
1.0
7.736 0.000 0.000
0.000 7.736 0.000
0.000 0.000 4.138
La Se F
4 4 2
Cartesian
1.266 2.602 0.000
2.602 6.469 0.000
5.134 1.266 0.000
6.469 5.134 0.000
1.124 4.992 2.069
2.744 1.124 2.069
4.992 6.612 2.069
6.612 2.744 2.069
0.000 0.000 0.000
3.868 3.868 0.000
```

Calculated values
N(E_F) in states/eV/f.u.: 1.2
Mass density in g/cm3: 6.1
Excess energy over the best structure of this formula in the dataset in meV per atom: 135
E_form (uncorrected) in kJ/mol of formula units: -1140
Calculated total energy in Ry/atom: -0.448



3.
Compound: Gd3Ag5I12
Source: the Alexandria database
Functional: PBE
Structure: relaxed

POSCAR file:
```
Gd3Ag5I12
1.0
-9.028 9.028 9.028
9.028 -9.028 9.028
9.028 9.028 -9.028
Gd Ag I
12 20 48
Cartesian
4.514 2.257 0.000
9.028 4.514 -2.257
2.257 0.000 4.514
11.284 0.000 4.514
0.000 4.514 2.257
4.514 -2.257 9.028
4.514 11.284 0.000
9.028 4.514 6.771
-2.257 9.028 4.514
6.771 9.028 4.514
0.000 4.514 11.284
4.514 6.771 9.028
0.000 0.000 0.000
4.514 4.514 -4.514
4.514 -4.514 4.514
9.028 0.000 0.000
13.541 2.257 0.000
9.028 -4.514 6.771
6.771 9.028 -4.514
6.771 0.000 4.514
4.514 6.771 0.000
9.028 4.514 2.257
-4.514 4.514 4.514
0.000 9.028 0.000
0.000 0.000 9.028
4.514 4.514 4.514
0.000 4.514 6.771
4.514 2.257 9.028
2.257 9.028 4.514
2.257 0.000 13.541
0.000 13.541 2.257
-4.514 6.771 9.028
2.751 -0.438 1.214
10.790 5.727 -4.952
8.589 -1.214 2.751
13.980 -1.763 3.300
11.779 0.438 1.214
10.790 -3.300 4.952
1.214 2.751 -0.438
12.328 4.075 -1.763
5.727 4.952 -1.763
7.814 2.751 0.438
-0.438 1.214 2.751
4.952 -1.763 5.727
8.589 7.814 -2.751
4.952 1.763 3.300
7.814 -2.751 8.589
5.727 -4.952 10.790
3.300 4.952 1.763
10.241 6.276 0.438
2.751 8.589 -1.214
10.790 3.300 4.075
4.952 10.790 -3.300
8.589 1.214 6.276
1.763 3.300 4.952
2.751 0.438 7.814
6.276 8.589 1.214
7.265 5.727 4.075
0.438 7.814 2.751
4.075 -1.763 12.328
-1.763 5.727 4.952
6.276 0.438 10.241
-1.214 2.751 8.589
5.727 4.075 7.265
3.300 13.980 -1.763
1.214 11.779 0.438
4.075 7.265 5.727
0.438 1.214 11.779
4.075 10.790 3.300
9.466 7.814 6.276
1.214 6.276 8.589
3.300 4.075 10.790
-3.300 4.952 10.790
7.814 6.276 9.466
-1.763 12.328 4.075
-2.751 8.589 7.814
-4.952 10.790 5.727
0.438 10.241 6.276
-1.763 3.300 13.980
6.276 9.466 7.814
```

Calculated values
N(E_F) in states/eV/f.u.: 20.5
Mass density in g/cm3: 5.7
E_form (uncorrected) in kJ/mol of formula units: -1289
Calculated total energy in Ry/atom: -0.325



4.
Compound: NbCuRh
Source: the Alexandria database
Functional: PBE
Structure: relaxed

POSCAR file:
```
NbCuRh
1.0
2.816 0.000 0.000
-1.404 2.447 0.000
-0.008 -1.618 6.595
Nb Cu Rh
1 1 1
Cartesian
0.000 0.000 0.000
-0.002 0.004 4.347
0.001 1.629 2.205
```

Calculated values
N(E_F) in states/eV/f.u.: 2.2
Mass density in g/cm3: 9.5
ΔH_f (0 K) in eV per formula unit: -0.15
Calculated total energy in Ry/atom: -0.531